[1]
## Li3Zn (PBEsol)

Data for crystalline Li3Zn at its relaxed geometry.

Space group: P6_3/mmc (194)
Size of the total moment: 0.00 μB/f.u.
V: 16.02 Å³ per atom
Formation enthalpy at 0 K: -0.07 eV/atom

Cell and atoms, written as extended XYZ:
```
16
Lattice="5.648 0.000 0.000 -2.824 4.892 0.000 0.000 0.000 9.279" Properties=species:S:1:pos:R:3 pbc="T T T"
Li 1.412 2.446 0.000
Li 1.412 2.446 4.639
Li -1.412 2.446 0.000
Li 2.824 0.000 0.000
Li 2.824 0.000 4.639
Li -1.412 2.446 4.639
Li -1.468 4.108 6.959
Li 4.292 0.783 2.320
Li 1.468 4.108 6.959
Li 0.000 1.566 6.959
Li 2.824 3.325 2.320
Li 1.356 0.783 2.320
Zn 0.000 0.000 0.000
Zn 0.000 0.000 4.639
Zn 2.824 1.631 6.959
Zn 0.000 3.261 2.320
```

[2]
## Zr5In (PBEsol)

Data for crystalline Zr5In at its relaxed geometry.

Space group: Cm (8)
Size of the total moment: 0.00 μB/f.u.
V: 22.00 Å³ per atom
Formation enthalpy at 0 K: -0.11 eV/atom

Cell and atoms, written as extended XYZ:
```
6
Lattice="3.130 0.000 0.000 -1.565 5.776 -0.001 0.000 -1.994 7.299" Properties=species:S:1:pos:R:3 pbc="T T T"
Zr 1.565 1.331 2.363
Zr 0.000 2.501 4.861
Zr 0.000 4.023 2.088
Zr 0.000 -0.510 4.480
Zr 1.565 0.579 6.944
In 1.565 3.688 7.242
```

[3]
## CdSe3 (PBEsol)

Data for crystalline CdSe3 at its relaxed geometry.

Formation energy without anion corrections: 0.21 eV per atom
Space group: P4/mmm (123)
Size of the total moment: 0.00 μB/f.u.
V: 20.21 Å³ per atom

Cell and atoms, written as extended XYZ:
```
4
Lattice="-0.590 -2.630 -1.867 4.651 0.185 -1.730 1.493 -2.959 3.697" Properties=species:S:1:pos:R:3 pbc="T T T"
Cd 0.000 0.000 0.000
Se 0.452 -2.795 0.915
Se 2.030 -1.222 -1.798
Se 3.072 -1.387 0.984
```

[4]
## Y2SiBr (PBEsol)

Data for crystalline Y2SiBr at its relaxed geometry.

Formation energy without anion corrections: -1.08 eV per atom
Space group: R-3m (166)
Size of the total moment: 0.00 μB/f.u.
V: 24.83 Å³ per atom

Cell and atoms, written as extended XYZ:
```
4
Lattice="4.104 0.000 0.000 2.052 3.554 0.000 2.052 1.185 6.810" Properties=species:S:1:pos:R:3 pbc="T T T"
Y 2.052 1.185 1.955
Y 6.156 3.554 4.856
Si 4.104 2.369 3.405
Br 0.000 0.000 0.000
```

[5]
## Pt2AuS2 (PBEsol)

Data for crystalline Pt2AuS2 at its relaxed geometry.

Formation energy without anion corrections: 0.34 eV per atom
Space group: I4/mmm (139)
Size of the total moment: 0.00 μB/f.u.
V: 16.78 Å³ per atom

Cell and atoms, written as extended XYZ:
```
5
Lattice="3.911 0.000 0.000 0.000 3.911 0.000 -1.956 -1.956 5.483" Properties=species:S:1:pos:R:3 pbc="T T T"
S 0.000 1.956 2.742
S 1.956 0.000 2.742
Au 0.000 0.000 0.000
Pt 0.000 0.000 4.194
Pt 1.956 1.956 1.289
```

[6]
## Ca2BClO3 (PBEsol)

Data for crystalline Ca2BClO3 at its relaxed geometry.

Formation energy without anion corrections: -2.85 eV per atom
Space group: P2_1/c (14)
Size of the total moment: 0.00 μB/f.u.
V: 14.69 Å³ per atom

Cell and atoms, written as extended XYZ:
```
28
Lattice="3.914 0.000 0.011 0.000 8.666 0.000 -1.676 0.000 12.121" Properties=species:S:1:pos:R:3 pbc="T T T"
Ca -0.438 7.616 4.645
Ca 2.675 1.050 7.487
Ca -0.348 3.315 4.385
Ca 0.681 5.383 10.712
Ca 1.467 7.648 1.681
Ca 0.770 1.018 10.451
Ca 2.586 5.351 7.748
Ca 1.556 3.283 1.421
B 0.329 7.509 7.954
B 3.124 5.490 1.900
B 1.908 1.157 4.178
B -0.887 3.176 10.233
Cl 1.693 5.425 5.007
Cl 0.545 3.241 7.125
Cl 3.339 1.092 1.070
Cl -1.102 7.575 11.062
O 0.764 0.096 8.350
O -1.322 4.430 9.837
O 0.701 6.319 8.553
O -0.623 7.451 6.940
O 3.559 4.237 2.296
O 3.496 6.680 2.498
O 1.473 8.570 3.782
O -1.258 1.986 9.634
O 2.860 1.215 5.192
O 0.065 3.118 11.247
O 2.172 5.548 0.885
O 1.536 2.347 3.579
```